Entry from the Alexandria database: a geometry-optimized MgTlPdPt structure (PBE).

## Properties
* total DFT energy (no corrections): -4.22 eV per atom
* magnetization: 0.00 μB per atom

a = 4.642 Å, b = 4.642 Å, c = 4.642 Å
α = 60.00°, β = 60.00°, γ = 60.00°
Fractional positions:
Mg  0.000  0.000  0.000
Tl  0.500  0.500  0.500
Pd  0.250  0.250  0.250
Pt  0.750  0.750  0.750